A geometry-optimized SrNd2Os structure. Source: Alexandria via LeMat-Bulk, functional PBE-GGA.

## Properties
**Formation energy from the elements**: 0.19 eV per atom
**ΔE to the lowest computed polymorph**: 0.1488 eV/atom

The structure in POSCAR format:
```
SrNd2Os
1.0
2.067 1.194 11.080
-2.067 1.194 11.080
0.000 -2.387 11.080
Sr Nd Os
1 2 1
Direct
0.000 0.000 0.000
0.121 0.121 0.121
0.879 0.879 0.879
0.500 0.500 0.500
```

=====

A geometry-optimized SrNd2Os structure. Source: Alexandria via LeMat-Bulk, functional PBE-GGA.

## Properties
**Formation energy from the elements**: 0.05 eV per atom
**ΔE to the lowest computed polymorph**: 0.0000 eV/atom

The structure in POSCAR format:
```
SrNd2Os
1.0
3.559 0.000 0.000
0.000 3.559 0.000
0.000 0.000 10.381
Sr Nd Os
1 2 1
Direct
0.000 0.000 0.000
0.500 0.500 0.337
0.500 0.500 0.663
0.000 0.000 0.500
```

=====

A geometry-optimized SrNd3Os structure. Source: Alexandria via LeMat-Bulk, functional PBE-GGA.

## Properties
**Formation energy from the elements**: 0.02 eV per atom

The structure in POSCAR format:
```
SrNd3Os
1.0
5.694 0.000 0.000
0.000 5.694 0.000
0.000 0.000 5.694
Sr Nd Os
1 3 1
Direct
0.000 0.000 0.000
0.000 0.500 0.500
0.500 0.000 0.500
0.500 0.500 0.000
0.500 0.500 0.500
```

=====

A geometry-optimized NdTaOs2 structure. Source: Alexandria via LeMat-Bulk, functional PBE-GGA.

## Properties
**Formation energy from the elements**: -0.12 eV per atom

The structure in POSCAR format:
```
NdTaOs2
1.0
3.219 0.000 0.000
0.000 3.219 0.000
0.000 0.000 7.277
Nd Ta Os
1 1 2
Direct
0.000 0.000 0.000
0.000 0.000 0.500
0.500 0.500 0.293
0.500 0.500 0.707
```

=====

no.,energy (eV per atom)
1,-5.418
2,-5.567
3,-5.427
4,-9.887